(1)
{
  "formula": "Ba2LaPt",
  "functional": "PBE-GGA",
  "state": "optimized geometry",
  "space_group": "No. 139",
  "formation_energy_mev_per_atom": -69,
  "dos_at_fermi_per_ev_fu": 3.49,
  "rho_g_cm3": 7.625,
  "total_energy_ev_per_atom": -3.773,
  "e_above_lowest_polymorph_ev_per_fu": 2.03,
  "lattice": [[6.948, 0.001, 0.000], [3.829, 5.798, 0.000], [-5.388, -2.899, 3.291]],
  "species": ["La", "Ba", "Pt", "Ba"],
  "frac_coords": [[0.250, 0.750, 0.500], [0.500, 0.500, 0.000], [0.750, 0.250, 0.500], [0.000, 0.000, 0.000]]
}

***

(2)
{
  "formula": "TlSbCl3",
  "functional": "PBE-GGA",
  "state": "optimized geometry",
  "space_group": "No. 221",
  "dos_at_fermi_per_ev_fu": 2.04,
  "e_form_raw_ev_per_atom": -0.6642,
  "rho_g_cm3": 4.272,
  "total_energy_ev_per_atom": -3.070,
  "e_above_lowest_polymorph_ev_per_fu": 0.85,
  "lattice": [[-5.321, 1.347, -0.575], [-1.251, -3.057, 4.421], [0.760, 4.393, 3.253]],
  "species": ["Tl", "Cl", "Sb", "Cl", "Cl"],
  "frac_coords": [[0.500, 0.500, 0.500], [0.500, 0.000, 0.000], [0.000, 0.000, 0.000], [0.000, 0.500, 0.000], [0.000, 0.000, 0.500]]
}

***

(3)
{
  "formula": "La6CeDy2Er",
  "functional": "PBE-GGA",
  "state": "optimized geometry",
  "space_group": "No. 12",
  "formation_energy_mev_per_atom": 225,
  "dos_at_fermi_per_ev_fu": 22.83,
  "rho_g_cm3": 6.856,
  "total_energy_ev_per_atom": -4.702,
  "lattice": [[-1.901, -6.894, 5.496], [-4.402, -2.520, -4.684], [6.873, -0.146, -1.293]],
  "species": ["Dy", "Dy", "La", "La", "La", "Ce", "La", "Er", "La", "La"],
  "frac_coords": [[0.181, 0.102, 0.203], [0.819, 0.898, 0.797], [0.195, 0.596, 0.710], [0.805, 0.886, 0.290], [0.805, 0.404, 0.290], [0.000, 0.500, 0.000], [0.420, 0.666, 0.332], [0.500, 0.000, 0.000], [0.580, 0.334, 0.668], [0.195, 0.114, 0.710]]
}

***

(4)
{
  "formula": "AlIn2Co2",
  "functional": "PBE-GGA",
  "state": "optimized geometry",
  "space_group": "No. 127",
  "formation_energy_mev_per_atom": -27,
  "dos_at_fermi_per_ev_fu": 3.63,
  "rho_g_cm3": 7.814,
  "total_energy_ev_per_atom": -4.714,
  "lattice": [[6.274, 0.000, 0.000], [0.000, 6.274, 0.000], [0.000, 0.000, 4.044]],
  "species": ["In", "Co", "In", "Co", "Al", "Al", "In", "Co", "Co", "In"],
  "frac_coords": [[0.166, 0.666, 0.500], [0.641, 0.141, 0.000], [0.666, 0.834, 0.500], [0.359, 0.859, 0.000], [0.000, 0.000, 0.000], [0.500, 0.500, 0.000], [0.334, 0.166, 0.500], [0.141, 0.359, 0.000], [0.859, 0.641, 0.000], [0.834, 0.334, 0.500]]
}

***

(5)
{
  "formula": "CaAlTeI2",
  "functional": "PBE-GGA",
  "state": "optimized geometry",
  "space_group": "No. 123",
  "dos_at_fermi_per_ev_fu": 4.35,
  "e_form_raw_ev_per_atom": -0.3634,
  "rho_g_cm3": 3.327,
  "total_energy_ev_per_atom": -2.761,
  "e_above_lowest_polymorph_ev_per_fu": 0.93,
  "lattice": [[-0.774, -0.947, 5.937], [5.985, 0.441, 0.851], [-0.568, 6.001, 0.883]],
  "species": ["Te", "Al", "Ca", "I", "I"],
  "frac_coords": [[0.000, 0.000, 0.500], [0.500, 0.500, 0.500], [0.000, 0.000, 0.000], [0.500, 0.000, 0.000], [0.000, 0.500, 0.000]]
}

***

(6)
{
  "formula": "BaTl2Se",
  "functional": "PBE-GGA",
  "state": "optimized geometry",
  "space_group": "No. 12",
  "dos_at_fermi_per_ev_fu": 1.56,
  "e_form_raw_ev_per_atom": -0.7344,
  "rho_g_cm3": 7.532,
  "total_energy_ev_per_atom": -3.269,
  "lattice": [[-6.898, 2.069, -1.120], [-6.555, 0.799, 3.085], [-0.527, 4.550, 1.417]],
  "species": ["Tl", "Ba", "Tl", "Se"],
  "frac_coords": [[0.520, 0.520, 0.480], [0.750, 0.750, 0.750], [0.980, 0.980, 0.020], [0.250, 0.250, 0.250]]
}